SmTh2Al9 | PBE | optimized geometry

abc: 9.464 9.464 9.464
angles: 34.86 34.86 34.86
Fractional positions:
Sm 0.000 0.000 0.000
Th 0.142 0.142 0.142
Th 0.858 0.858 0.858
Al 0.076 0.586 0.586
Al 0.335 0.335 0.335
Al 0.414 0.414 0.924
Al 0.414 0.924 0.414
Al 0.500 0.500 0.500
Al 0.586 0.076 0.586
Al 0.586 0.586 0.076
Al 0.665 0.665 0.665
Al 0.924 0.414 0.414

Values from the calculation:
The formation enthalpy at 0 K comes out at -0.328 eV per atom. As for the crystal system: trigonal. Its space-group type is No. 166.

CsLiHg2Sb | PBE | optimized geometry

abc: 5.929 5.929 5.340
angles: 90.00 90.00 90.00
Fractional positions:
Cs 0.000 0.000 0.000
Li 0.500 0.500 0.000
Hg 0.000 0.500 0.500
Hg 0.500 0.000 0.500
Sb 0.500 0.500 0.500

Values from the calculation:
The calculation puts the energy above the lowest structure with this stoichiometry at 0.000 eV per atom. The uncorrected formation energy comes out at -0.197 eV per atom. As for the crystal system: tetragonal. Its space-group type is No. 123.

Ac2CuSn3Ir4 | PBE | optimized geometry

abc: 4.432 4.432 11.278
angles: 90.00 90.00 90.00
Fractional positions:
Ac 0.000 0.500 0.241
Ac 0.500 0.000 0.759
Cu 0.500 0.500 0.000
Sn 0.000 0.000 0.000
Sn 0.000 0.500 0.629
Sn 0.500 0.000 0.371
Ir 0.000 0.000 0.500
Ir 0.000 0.500 0.866
Ir 0.500 0.000 0.134
Ir 0.500 0.500 0.500

Values from the calculation:
The formation enthalpy at 0 K comes out at -0.486 eV per atom. As for the crystal system: tetragonal. Its space-group type is No. 115.

DyIn4 | PBE | optimized geometry

abc: 5.874 5.874 5.874
angles: 90.00 90.00 90.00
Fractional positions:
Dy 0.000 0.000 0.000
In 0.000 0.000 0.500
In 0.000 0.500 0.000
In 0.500 0.000 0.000
In 0.500 0.500 0.500

Values from the calculation:
The calculation puts the energy above the lowest structure with this stoichiometry at 0.469 eV per atom. The formation enthalpy at 0 K comes out at 0.526 eV per atom. As for the crystal system: cubic. Its space-group type is No. 221.

NaLi2Al | PBE | optimized geometry

abc: 10.439 10.439 10.439
angles: 16.89 16.89 16.89
Fractional positions:
Na 0.000 0.000 0.000
Li 0.239 0.239 0.239
Li 0.428 0.428 0.428
Al 0.833 0.833 0.833

Values from the calculation:
The formation enthalpy at 0 K comes out at 0.053 eV per atom. As for the crystal system: trigonal. Its space-group type is No. 160.

Cr2NiRh | PBE | optimized geometry

abc: 3.650 3.650 3.731
angles: 90.00 90.00 90.00
Fractional positions:
Cr 0.000 0.500 0.000
Cr 0.500 0.000 0.000
Ni 0.000 0.000 0.500
Rh 0.500 0.500 0.500

Values from the calculation:
The formation enthalpy at 0 K comes out at -0.056 eV per atom. As for the crystal system: tetragonal. Its space-group type is No. 123.

PmHgH6Pd4 | PBE | optimized geometry

abc: 4.781 4.781 6.862
angles: 90.00 90.00 120.00
Fractional positions:
Pm 0.000 0.000 0.000
Hg 0.000 0.000 0.500
H 0.000 0.500 0.142
H 0.000 0.500 0.858
H 0.500 0.000 0.142
H 0.500 0.000 0.858
H 0.500 0.500 0.142
H 0.500 0.500 0.858
Pd 0.333 0.667 0.299
Pd 0.333 0.667 0.701
Pd 0.667 0.333 0.299
Pd 0.667 0.333 0.701

Values from the calculation:
The value obtained for the total DFT energy (no corrections) is -4.0829 eV per atom. As for the crystal system: hexagonal. Its space-group type is No. 191.

Mn2TlRh | PBE | optimized geometry

abc: 8.911 8.911 8.911
angles: 19.61 19.61 19.61
Fractional positions:
Mn 0.241 0.241 0.241
Mn 0.759 0.759 0.759
Tl 0.000 0.000 0.000
Rh 0.500 0.500 0.500

Values from the calculation:
The calculation puts the energy above the lowest structure with this stoichiometry at 0.185 eV per atom. The formation enthalpy at 0 K comes out at 0.360 eV per atom. As for the crystal system: trigonal. Its space-group type is No. 166.

La2Zn7Ge | PBE | optimized geometry

abc: 4.368 4.368 10.402
angles: 90.00 90.00 90.00
Fractional positions:
La 0.000 0.500 0.249
La 0.500 0.000 0.751
Zn 0.000 0.000 0.000
Zn 0.000 0.500 0.634
Zn 0.000 0.500 0.872
Zn 0.500 0.000 0.128
Zn 0.500 0.000 0.366
Zn 0.500 0.500 0.000
Zn 0.500 0.500 0.500
Ge 0.000 0.000 0.500

Values from the calculation:
The formation enthalpy at 0 K comes out at -0.373 eV per atom. As for the crystal system: tetragonal. Its space-group type is No. 115.

Tl2Pd9Pb | PBE | optimized geometry

abc: 12.271 12.271 12.271
angles: 160.51 160.51 27.69
Fractional positions:
Tl 0.000 0.000 0.000
Tl 0.165 0.165 0.000
Pd 0.083 0.583 0.500
Pd 0.249 0.749 0.500
Pd 0.330 0.330 0.000
Pd 0.415 0.915 0.500
Pd 0.499 0.499 0.000
Pd 0.583 0.083 0.500
Pd 0.667 0.667 0.000
Pd 0.749 0.249 0.500
Pd 0.915 0.415 0.500
Pb 0.833 0.833 0.000

Values from the calculation:
The calculation puts the energy above the lowest structure with this stoichiometry at 0.000 eV per atom. The formation enthalpy at 0 K comes out at -0.226 eV per atom. As for the crystal system: tetragonal. Its space-group type is No. 107.

MnCo2Pt | PBE | optimized geometry

abc: 2.611 2.611 8.436
angles: 90.00 90.00 115.01
Fractional positions:
Mn 0.000 0.000 0.000
Co 0.500 0.500 0.235
Co 0.500 0.500 0.765
Pt 0.000 0.000 0.500

Values from the calculation:
The formation enthalpy at 0 K comes out at 0.144 eV per atom. As for the crystal system: orthorhombic. Its space-group type is No. 65.

LiLaFe2 | PBE | optimized geometry

abc: 5.395 5.395 5.395
angles: 45.84 45.84 45.84
Fractional positions:
Li 0.000 0.000 0.000
La 0.500 0.500 0.500
Fe 0.322 0.322 0.322
Fe 0.678 0.678 0.678

Values from the calculation:
The calculation puts the energy above the lowest structure with this stoichiometry at 0.073 eV per atom. The formation enthalpy at 0 K comes out at 0.285 eV per atom. As for the crystal system: trigonal. Its space-group type is No. 166.

La2SmGaO | PBE | optimized geometry

abc: 5.004 5.004 4.870
angles: 90.00 90.00 90.00
Fractional positions:
La 0.000 0.500 0.000
La 0.500 0.000 0.000
Sm 0.000 0.000 0.500
Ga 0.500 0.500 0.500
O 0.000 0.000 0.000

Values from the calculation:
The uncorrected formation energy comes out at -1.387 eV per atom. As for the crystal system: tetragonal. Its space-group type is No. 123.

Ca3Al2Ga3 | PBE | optimized geometry

abc: 8.272 15.183 6.014
angles: 90.00 90.00 90.00
Fractional positions:
Ca 0.042 0.111 0.127
Ca 0.042 0.389 0.127
Ca 0.188 0.250 0.604
Ca 0.312 0.750 0.104
Ca 0.458 0.611 0.627
Ca 0.458 0.889 0.627
Ca 0.542 0.111 0.373
Ca 0.542 0.389 0.373
Ca 0.688 0.250 0.896
Ca 0.812 0.750 0.396
Ca 0.958 0.611 0.873
Ca 0.958 0.889 0.873
Al 0.100 0.602 0.388
Al 0.100 0.898 0.388
Al 0.400 0.102 0.888
Al 0.400 0.398 0.888
Al 0.600 0.602 0.112
Al 0.600 0.898 0.112
Al 0.900 0.102 0.612
Al 0.900 0.398 0.612
Ga 0.174 0.750 0.597
Ga 0.195 0.038 0.610
Ga 0.195 0.462 0.610
Ga 0.305 0.538 0.110
Ga 0.305 0.962 0.110
Ga 0.326 0.250 0.097
Ga 0.674 0.750 0.903
Ga 0.695 0.038 0.890
Ga 0.695 0.462 0.890
Ga 0.805 0.538 0.390
Ga 0.805 0.962 0.390
Ga 0.826 0.250 0.403

Values from the calculation:
The calculation puts the energy above the lowest structure with this stoichiometry at 0.034 eV per atom. The formation enthalpy at 0 K comes out at -0.416 eV per atom. As for the crystal system: orthorhombic. Its space-group type is No. 62.

ZrTi6Sn6 | PBE | optimized geometry

abc: 5.648 5.648 9.627
angles: 90.00 90.00 120.00
Fractional positions:
Zr 0.000 0.000 0.000
Ti 0.000 0.500 0.246
Ti 0.000 0.500 0.754
Ti 0.500 0.000 0.246
Ti 0.500 0.000 0.754
Ti 0.500 0.500 0.246
Ti 0.500 0.500 0.754
Sn 0.000 0.000 0.310
Sn 0.000 0.000 0.690
Sn 0.333 0.667 0.000
Sn 0.333 0.667 0.500
Sn 0.667 0.333 0.000
Sn 0.667 0.333 0.500

Values from the calculation:
The formation enthalpy at 0 K comes out at -0.392 eV per atom. As for the crystal system: hexagonal. Its space-group type is No. 191.

Pm2HfAl4Pd3 | PBE | optimized geometry

abc: 4.222 4.222 11.353
angles: 90.00 90.00 90.00
Fractional positions:
Pm 0.000 0.500 0.242
Pm 0.500 0.000 0.758
Hf 0.000 0.000 0.500
Al 0.000 0.000 0.000
Al 0.000 0.500 0.657
Al 0.500 0.000 0.343
Al 0.500 0.500 0.000
Pd 0.000 0.500 0.876
Pd 0.500 0.000 0.124
Pd 0.500 0.500 0.500

Values from the calculation:
The formation enthalpy at 0 K comes out at -0.679 eV per atom. As for the crystal system: tetragonal. Its space-group type is No. 115.

CaY2Ir | PBE | optimized geometry

abc: 6.033 6.033 6.033
angles: 137.65 137.65 61.45
Fractional positions:
Ca 0.000 0.000 0.000
Y 0.500 0.500 0.000
Y 0.750 0.250 0.500
Ir 0.250 0.750 0.500

Values from the calculation:
The calculation puts the energy above the lowest structure with this stoichiometry at 0.357 eV per atom. The formation enthalpy at 0 K comes out at -0.046 eV per atom. As for the crystal system: tetragonal. Its space-group type is No. 119.

Ac3PmPt4 | PBE | optimized geometry

abc: 7.524 7.524 4.325
angles: 90.00 90.00 109.55
Fractional positions:
Ac 0.000 0.000 0.000
Ac 0.000 0.500 0.500
Ac 0.500 0.000 0.500
Pm 0.500 0.500 0.000
Pt 0.254 0.746 0.000
Pt 0.259 0.259 0.500
Pt 0.741 0.741 0.500
Pt 0.746 0.254 0.000

Values from the calculation:
The formation enthalpy at 0 K comes out at -1.140 eV per atom. As for the crystal system: orthorhombic. Its space-group type is No. 65.

MoPt2Rh2 | PBE | optimized geometry

abc: 4.784 4.784 6.188
angles: 129.95 129.95 48.05
Fractional positions:
Mo 0.000 0.000 0.000
Pt 0.203 0.203 0.603
Pt 0.797 0.797 0.397
Rh 0.394 0.394 0.189
Rh 0.606 0.606 0.811

Values from the calculation:
The calculation puts the energy above the lowest structure with this stoichiometry at 0.000 eV per atom. The formation enthalpy at 0 K comes out at -0.218 eV per atom. As for the crystal system: monoclinic. Its space-group type is No. 12.

TbGa2Cu9 | PBE | optimized geometry

abc: 7.883 7.883 7.883
angles: 100.14 100.14 130.39
Fractional positions:
Tb 0.375 0.625 0.750
Tb 0.625 0.375 0.250
Ga 0.000 0.000 0.000
Ga 0.000 0.000 0.500
Ga 0.000 0.500 0.000
Ga 0.500 0.000 0.500
Cu 0.125 0.875 0.250
Cu 0.138 0.557 0.336
Cu 0.138 0.801 0.580
Cu 0.199 0.279 0.336
Cu 0.199 0.862 0.920
Cu 0.279 0.199 0.836
Cu 0.279 0.443 0.080
Cu 0.443 0.279 0.580
Cu 0.443 0.862 0.164
Cu 0.557 0.138 0.836
Cu 0.557 0.721 0.420
Cu 0.721 0.557 0.920
Cu 0.721 0.801 0.164
Cu 0.801 0.138 0.080
Cu 0.801 0.721 0.664
Cu 0.862 0.199 0.420
Cu 0.862 0.443 0.664
Cu 0.875 0.125 0.750

Values from the calculation:
The calculation puts the energy above the lowest structure with this stoichiometry at 0.000 eV per atom. The formation enthalpy at 0 K comes out at -0.162 eV per atom. As for the crystal system: tetragonal. Its space-group type is No. 141.

| no. | density of states at the Fermi level (states/eV per atom) |
| --- | --- |
| 1 | 0.59 |
| 2 | 0.30 |
| 3 | 0.41 |
| 4 | 0.90 |
| 5 | 0.59 |
| 6 | 1.19 |
| 7 | 0.30 |
| 8 | 0.79 |
| 9 | 0.63 |
| 10 | 0.38 |
| 11 | 1.45 |
| 12 | 0.53 |
| 13 | 0.47 |
| 14 | 0.36 |
| 15 | 1.37 |
| 16 | 0.68 |
| 17 | 0.86 |
| 18 | 0.55 |
| 19 | 1.28 |
| 20 | 0.46 |